Below is an optimized crystal structure of Cs2ThBiO6, with properties calculated at the GGA-PBE level.

Cell lengths 6.3541, 6.3548, 8.9880 Å; angles 90.00, 90.00, 90.00 degrees
Site moments in Bohr magnetons follow the coordinates.
Fractional positions:
1 Cs 0.5000 0.7500 0.2500  0.01
2 Cs 0.0000 0.2500 0.7500  0.01
3 Cs 0.5000 0.7500 0.7500  0.01
4 Cs 0.0000 0.2500 0.2500  0.01
5 Th 0.0000 0.7497 0.5000  -0.03
6 Th 0.5000 0.2503 0.0000  -0.03
7 Bi 0.5000 0.2497 0.5000  -0.02
8 Bi 0.0000 0.7503 0.0000  -0.02
9 O 0.5000 0.2499 0.2574  0.16
10 O 0.5000 0.2499 0.7426  0.16
11 O 0.0000 0.7501 0.2426  0.16
12 O 0.0000 0.7501 0.7574  0.16
13 O 0.2574 0.0070 0.5000  0.16
14 O 0.7426 0.0070 0.5000  0.16
15 O 0.2573 0.4923 0.5000  0.16
16 O 0.7427 0.4923 0.5000  0.16
17 O 0.7573 0.5077 0.0000  0.16
18 O 0.2427 0.5077 0.0000  0.16
19 O 0.2426 0.9930 0.0000  0.16
20 O 0.7574 0.9930 0.0000  0.16

Below is an optimized crystal structure of Cs2ThBi2O6, with properties calculated at the GGA-PBE level.

Cell lengths 6.5061, 6.5161, 8.3578 Å; angles 99.51, 90.00, 119.95 degrees
Fractional positions:
1 Cs 0.8083 0.6166 0.3252
2 Cs 0.1917 0.3834 0.6748
3 Th 0.5000 0.0000 0.5000
4 Bi 0.8729 0.7458 0.7809
5 Bi 0.1271 0.2542 0.2191
6 O 0.6936 0.3873 0.6554
7 O 0.3060 0.1284 0.3452
8 O 0.1775 0.8716 0.6548
9 O 0.6940 0.8716 0.6548
10 O 0.8225 0.1284 0.3452
11 O 0.3064 0.6127 0.3446

Below is an optimized crystal structure of CsTiBi2O6, with properties calculated at the GGA-PBE level.

Cell lengths 7.2516, 8.3353, 8.3353 Å; angles 103.56, 75.40, 75.40 degrees
Fractional positions:
1 Cs 0.2500 0.8954 0.1046
2 Cs 0.7500 0.1046 0.8954
3 Ti 0.2500 0.1977 0.8023
4 Ti 0.7500 0.8023 0.1977
5 Bi 0.3498 0.7227 0.5536
6 Bi 0.1502 0.4464 0.2773
7 Bi 0.6502 0.2773 0.4464
8 Bi 0.8498 0.5536 0.7227
9 O 0.2291 0.9769 0.7584
10 O 0.2709 0.2416 0.0231
11 O 0.7709 0.0231 0.2416
12 O 0.7291 0.7584 0.9769
13 O 0.5158 0.8012 0.3425
14 O 0.9842 0.6575 0.1988
15 O 0.4842 0.1988 0.6575
16 O 0.0158 0.3425 0.8012
17 O 0.0505 0.6682 0.5890
18 O 0.4495 0.4110 0.3318
19 O 0.9495 0.3318 0.4110
20 O 0.5505 0.5890 0.6682

Below is an optimized crystal structure of CsTi2Bi2O7, with properties calculated at the GGA-PBE level.

Cell lengths 6.0023, 6.0023, 9.3142 Å; angles 71.20, 71.20, 60.00 degrees
Site moments in Bohr magnetons follow the coordinates.
Fractional positions:
1 Cs 0.5000 0.5000 0.5000  0.00
2 Ti 0.9287 0.9287 0.2138  0.09
3 Ti 0.0713 0.0713 0.7862  0.09
4 Bi 0.7108 0.7108 0.8675  0.16
5 Bi 0.2892 0.2892 0.1325  0.16
6 O 0.1203 0.0292 0.2748  0.01
7 O 0.5757 0.1203 0.2748  0.01
8 O 0.0292 0.5757 0.2748  0.01
9 O 0.4243 0.9708 0.7252  0.01
10 O 0.8797 0.4243 0.7252  0.01
11 O 0.0000 0.0000 0.0000  0.00
12 O 0.9708 0.8797 0.7252  0.01

Below is an optimized crystal structure of CsTi2BiO6, with properties calculated at the GGA-PBE level.

Cell lengths 6.3151, 8.0331, 8.0331 Å; angles 88.59, 78.69, 78.69 degrees
Fractional positions:
1 Cs 0.2500 0.8906 0.1094
2 Cs 0.7500 0.1094 0.8906
3 Ti 0.3031 0.8316 0.6500
4 Ti 0.1969 0.3500 0.1684
5 Ti 0.6969 0.1684 0.3500
6 Ti 0.8031 0.6500 0.8316
7 Bi 0.2500 0.3182 0.6818
8 Bi 0.7500 0.6818 0.3182
9 O 0.2098 0.0599 0.6959
10 O 0.2902 0.3041 0.9401
11 O 0.7902 0.9401 0.3041
12 O 0.7098 0.6959 0.0599
13 O 0.3819 0.7853 0.4304
14 O 0.1181 0.5696 0.2147
15 O 0.6181 0.2147 0.5696
16 O 0.8819 0.4304 0.7853
17 O 0.0591 0.7349 0.7498
18 O 0.4409 0.2502 0.2651
19 O 0.9409 0.2651 0.2502
20 O 0.5591 0.7498 0.7349

Below is an optimized crystal structure of Cs2TlBiO4, with properties calculated at the GGA-PBE level.

Cell lengths 6.5987, 6.5933, 6.5408 Å; angles 120.34, 120.37, 89.88 degrees
Fractional positions:
1 Cs 0.4863 0.9863 0.9727
2 Cs 0.2364 0.2364 0.4729
3 Tl 0.7359 0.7359 0.4717
4 Bi 0.9860 0.4860 0.9721
5 O 0.7165 0.6100 0.7190
6 O 0.8610 0.4685 0.2235
7 O 0.3624 0.7549 0.2233
8 O 0.0024 0.1090 0.7189

Number 1: ΔE_f (raw) -1832 meV/atom, electronic total energy -6.1077 eV/atom. Number 2: ΔE_f (raw) -1962 meV/atom, electronic total energy -6.2018 eV/atom. Number 3: ΔE_f (raw) -1731 meV/atom, electronic total energy -6.3574 eV/atom. Number 4: ΔE_f (raw) -2052 meV/atom, electronic total energy -6.9783 eV/atom. Number 5: ΔE_f (raw) -2385 meV/atom, electronic total energy -7.4125 eV/atom. Number 6: ΔE_f (raw) -1118 meV/atom, electronic total energy -4.5919 eV/atom.